Entry 1:
Compound: Sr3Pt
Source: the Alexandria database
Functional: PBE-GGA
Structure: optimized geometry

Summary:
The value obtained for the total magnetization is 0.0 μB/cell. Its calculated total energy is -24.7 eV per cell.

Cell lengths 10.2811, 10.2811, 4.1500 Å; angles 90.00, 90.00, 120.00 degrees
With the nearest neighbours (Å) after each atom.
Space group P6_3/mmc (No. 194)
Symmetry-distinct sites (fractional):
Sr  0.2083  0.4167  0.2500 [6 per cell]  2 Pt 3.04
Pt  0.3333  0.6667  0.7500 [2 per cell]  6 Sr 3.04

Entry 2:
Compound: Sr5Pt3
Source: the Alexandria database
Functional: PBE-GGA
Structure: optimized geometry

Summary:
The value obtained for the total magnetization is 0.0 μB/cell. Its calculated total energy is -127.5 eV per cell.

Cell lengths 6.4520, 17.1221, 9.1464 Å; angles 90.00, 110.54, 90.00 degrees
With the nearest neighbours (Å) after each atom.
Space group Cm (No. 8)
Symmetry-distinct sites (fractional):
Sr  0.0000  0.0000  0.0000 [2 per cell]  4 Pt 3.09-3.10, 2 Sr 3.23
Sr  0.0004  0.5000  0.0008 [2 per cell]  4 Pt 3.09-3.10, 2 Sr 3.23
Sr  0.0617  0.1039  0.6258 [4 per cell]  4 Pt 3.16-3.32
Sr  0.1444  0.3127  0.7926 [4 per cell]  4 Pt 3.16-3.32
Sr  0.3538  0.3127  0.2081 [4 per cell]  4 Pt 3.16-3.32
Sr  0.4365  0.1039  0.3750 [4 per cell]  4 Pt 3.16-3.32
Pt  0.0954  0.5000  0.6920 [2 per cell]  6 Sr 3.09-3.32
Pt  0.2492  0.2500  0.5004 [4 per cell]  8 Sr 3.16-3.17, 2 Pt 3.23
Pt  0.2507  0.1541  0.0004 [4 per cell]  6 Sr 3.09-3.32
Pt  0.4057  0.5000  0.3088 [2 per cell]  6 Sr 3.09-3.32

Entry 3:
Compound: Sr3Pt
Source: the Alexandria database
Functional: PBE-GGA
Structure: optimized geometry

Summary:
The value obtained for the total magnetization is 0.0 μB/cell. Its calculated total energy is -12.0 eV per cell.

Cell lengths 5.0161, 5.0161, 6.5723 Å; angles 90.00, 90.00, 90.00 degrees
With the nearest neighbours (Å) after each atom.
Space group P4mm (No. 99)
Symmetry-distinct sites (fractional):
Sr  0.0000  0.0000  0.0000 [1 per cell]  4 Pt 3.77, 4 Sr 3.93
Sr  0.0000  0.5000  0.4598 [2 per cell]  2 Pt 3.06
Pt  0.5000  0.5000  0.1924 [1 per cell]  4 Sr 3.06

Entry 4:
Compound: Sr3Pt2
Source: the Alexandria database
Functional: PBE-GGA
Structure: optimized geometry

Summary:
The value obtained for the total magnetization is 0.0 μB/cell. Its calculated total energy is -123.3 eV per cell.

Cell lengths 7.5985, 7.5985, 20.0584 Å; angles 90.00, 90.00, 120.00 degrees
With the nearest neighbours (Å) after each atom.
Space group R-3c (No. 167, hexagonal axes)
Symmetry-distinct sites (fractional):
Sr  0.0000  0.3527  0.2500 [18 per cell]  4 Pt 3.04-3.11
Pt  0.0000  0.0000  0.1781 [12 per cell]  1 Pt 2.88, 6 Sr 3.04-3.11